GdDyGe2Ir GGA-PBE optimized geometry; magnetic moment = 0.001 μB/f.u.; total DFT energy (no corrections) = -6.386 eV/atom
1.0
-5.160 1.783 -1.693
-4.331 -2.258 -2.968
0.522 -3.019 9.903
Dy Ir Ge Gd
2 2 4 2
direct
0.810 0.810 0.882
0.190 0.190 0.118
0.728 0.728 0.335
0.272 0.272 0.665
0.520 0.520 0.885
0.480 0.480 0.115
0.648 0.648 0.553
0.352 0.352 0.447
0.992 0.992 0.670
0.008 0.008 0.330

---

GdDyNi2Ge4 GGA-PBE optimized geometry; magnetic moment = 0.003 μB/f.u.; total DFT energy (no corrections) = -5.574 eV/atom
1.0
-3.584 -1.907 0.917
3.795 -7.687 -1.153
4.392 -6.891 2.837
Ge Dy Ni Gd
4 1 2 1
direct
0.000 0.041 0.041
0.500 0.958 0.958
0.000 0.751 0.751
0.500 0.250 0.250
0.000 0.393 0.393
0.000 0.178 0.178
0.500 0.822 0.822
0.500 0.607 0.607

---

GdDy2Ni4Ge4 GGA-PBE optimized geometry; magnetic moment = 0.006 μB/f.u.; total DFT energy (no corrections) = -5.707 eV/atom
1.0
-8.378 6.740 5.745
-6.426 10.231 1.633
5.356 -9.521 -5.412
Ni Dy Ge Gd
4 2 4 1
direct
0.250 0.250 0.000
0.750 0.750 0.000
0.902 0.402 0.500
0.098 0.598 0.500
0.649 0.149 0.500
0.351 0.851 0.500
0.197 0.697 0.500
0.803 0.303 0.500
0.553 0.553 0.000
0.447 0.447 0.000
0.000 0.000 0.000

---

GdDyGe4Os2 GGA-PBE optimized geometry; magnetic moment = 0.005 μB/f.u.; total DFT energy (no corrections) = -6.742 eV/atom
1.0
-0.615 -0.031 -4.412
3.917 -2.036 -0.532
-3.351 -7.132 2.623
Gd Ge Os Dy
1 4 2 1
direct
0.383 0.000 0.292
0.958 0.500 0.414
0.043 0.000 0.587
0.677 0.000 0.008
0.321 0.500 0.991
0.892 0.500 0.117
0.106 0.000 0.883
0.621 0.500 0.710